{"formula": "Rb3Tb2ErS6", "functional": "PBE", "state": "relaxed", "cell": [[7.069, -0.001, 0.000], [-3.534, 6.122, 0.000], [-1.179, -2.041, 7.689]], "species": ["S", "S", "S", "S", "S", "S", "Er", "Rb", "Rb", "Rb", "Tb", "Tb"], "fractional_positions": [[0.936, 0.606, 0.808], [0.734, 0.734, 0.192], [0.064, 0.394, 0.192], [0.394, 0.064, 0.192], [0.266, 0.266, 0.808], [0.606, 0.936, 0.808], [0.000, 0.000, 0.000], [0.500, 0.500, 0.500], [0.167, 0.833, 0.500], [0.833, 0.167, 0.500], [0.667, 0.333, 0.000], [0.333, 0.667, 0.000]], "sg": "C2/m, No. 12", "dos_at_fermi_per_ev_fu": 0.0, "rho_g_cm3": 4.661, "formation_energy_uncorrected_ev_per_atom": -1.8545}

***

{"formula": "Tl15Cd2In2", "functional": "PBE", "state": "relaxed", "cell": [[1.987, 8.024, -2.512], [-4.191, 4.547, 6.033], [6.522, 1.698, 5.406]], "species": ["Tl", "Tl", "Tl", "Tl", "Tl", "Tl", "Tl", "Tl", "Tl", "Tl", "Tl", "Tl", "Tl", "Tl", "Tl", "Cd", "Cd", "In", "In"], "fractional_positions": [[0.153, 0.632, 0.632], [0.368, 0.368, 0.847], [0.632, 0.632, 0.153], [0.000, 0.000, 0.500], [0.699, 0.301, 0.000], [0.699, 0.000, 0.301], [0.000, 0.301, 0.699], [0.500, 0.000, 0.000], [0.632, 0.153, 0.632], [0.000, 0.500, 0.000], [0.847, 0.368, 0.368], [0.301, 0.699, 0.000], [0.368, 0.847, 0.368], [0.301, 0.000, 0.699], [0.000, 0.699, 0.301], [0.090, 0.090, 0.090], [0.910, 0.910, 0.910], [0.724, 0.724, 0.724], [0.276, 0.276, 0.276]], "sg": "R-3m, No. 166", "dft_energy_ev_per_cell": -40.6, "dos_at_fermi_per_ev_fu": 11.0, "rho_g_cm3": 9.452}

***

{"formula": "HfSiSeN2", "functional": "PBE", "state": "relaxed", "cell": [[-1.348, -1.992, -2.829], [2.910, 0.990, -2.084], [2.391, -3.798, 1.535]], "species": ["Se", "N", "N", "Si", "Hf"], "fractional_positions": [[0.000, 0.000, 0.500], [0.500, 0.000, 0.000], [0.000, 0.500, 0.000], [0.000, 0.000, 0.000], [0.500, 0.500, 0.500]], "sg": "P4/mmm, No. 123", "relative_energy_ev_per_atom": 0.000, "dos_at_fermi_per_ev_fu": 1.3, "rho_g_cm3": 7.961, "formation_energy_uncorrected_ev_per_atom": 0.1893}

***

{"formula": "HoPd12Au7", "functional": "PBE", "state": "relaxed", "cell": [[7.477, -0.072, -0.108], [-2.148, 7.162, -0.108], [-2.148, -2.858, 6.568]], "species": ["Au", "Au", "Au", "Au", "Au", "Au", "Au", "Pd", "Pd", "Pd", "Pd", "Pd", "Pd", "Pd", "Pd", "Pd", "Pd", "Pd", "Pd", "Ho"], "fractional_positions": [[0.917, 0.804, 0.528], [0.083, 0.196, 0.472], [0.528, 0.917, 0.804], [0.196, 0.472, 0.083], [0.500, 0.500, 0.500], [0.472, 0.083, 0.196], [0.804, 0.528, 0.917], [0.862, 0.160, 0.728], [0.840, 0.272, 0.138], [0.478, 0.174, 0.595], [0.826, 0.405, 0.522], [0.272, 0.138, 0.840], [0.522, 0.826, 0.405], [0.595, 0.478, 0.174], [0.160, 0.728, 0.862], [0.405, 0.522, 0.826], [0.174, 0.595, 0.478], [0.138, 0.840, 0.272], [0.728, 0.862, 0.160], [0.000, 0.000, 0.000]], "sg": "R-3, No. 148", "dft_energy_ev_per_cell": -92.9, "dos_at_fermi_per_ev_fu": 14.4, "rho_g_cm3": 13.537}

***

{"formula": "Tm3TlCd4", "functional": "PBE", "state": "relaxed", "cell": [[-2.150, 2.151, 3.890], [-1.488, -7.330, 3.231], [8.707, 0.284, 4.656]], "species": ["Tm", "Tm", "Tm", "Tm", "Tm", "Tm", "Cd", "Cd", "Cd", "Cd", "Cd", "Cd", "Cd", "Cd", "Tl", "Tl"], "fractional_positions": [[0.500, 0.500, 0.750], [0.500, 0.000, 0.250], [0.500, 0.000, 0.750], [0.500, 0.500, 0.250], [0.000, 0.000, 0.500], [0.000, 0.000, 0.000], [0.500, 0.752, 0.500], [0.000, 0.248, 0.250], [0.500, 0.248, 0.500], [0.000, 0.248, 0.750], [0.000, 0.752, 0.250], [0.500, 0.752, 0.000], [0.500, 0.248, 0.000], [0.000, 0.752, 0.750], [0.000, 0.500, 0.000], [0.000, 0.500, 0.500]], "sg": "P4/mmm, No. 123", "dft_energy_ev_per_cell": -42.5, "dos_at_fermi_per_ev_fu": 5.1, "rho_g_cm3": 9.702}

***

{"formula": "TaV2P", "functional": "PBE", "state": "relaxed", "cell": [[-1.159, 0.430, 3.057], [-3.470, -2.042, -2.810], [2.438, -6.717, 1.870]], "species": ["P", "P", "V", "V", "V", "V", "Ta", "Ta"], "fractional_positions": [[0.759, 0.518, 0.750], [0.241, 0.482, 0.250], [0.352, 0.703, 0.948], [0.648, 0.297, 0.052], [0.648, 0.297, 0.448], [0.352, 0.703, 0.552], [0.956, 0.912, 0.250], [0.044, 0.088, 0.750]], "sg": "Cmcm, No. 63", "relative_energy_ev_per_atom": 0.000, "dos_at_fermi_per_ev_fu": 2.0, "rho_g_cm3": 9.254}

***

{"formula": "MnAgMo", "functional": "PBE", "state": "relaxed", "cell": [[4.977, 0.132, -0.089], [2.590, 4.251, 0.089], [-3.338, -2.961, 2.210]], "species": ["Mn", "Ag", "Mo"], "fractional_positions": [[0.324, 0.324, 0.000], [0.998, 0.998, 0.000], [0.679, 0.679, 0.000]], "sg": "Imm2, No. 44", "relative_energy_ev_per_atom": 0.109, "dos_at_fermi_per_ev_fu": 2.4, "rho_g_cm3": 9.200}

***

{"formula": "RbBa2AsC", "functional": "PBE", "state": "relaxed", "cell": [[6.711, 0.000, 0.000], [0.000, 5.494, 0.000], [0.000, 0.000, 6.711]], "species": ["Ba", "Ba", "Rb", "C", "As"], "fractional_positions": [[0.500, 0.000, 0.000], [0.000, 0.000, 0.500], [0.000, 0.000, 0.000], [0.500, 0.500, 0.500], [0.000, 0.500, 0.000]], "sg": "P4/mmm, No. 123", "dft_energy_ev_per_cell": -10.2, "dos_at_fermi_per_ev_fu": 3.0, "rho_g_cm3": 3.000}